Record 1
This record from the Alexandria database describes a relaxed structure of Sm2CuNi12P3. The functional is PBE-GGA.

abc: 6.275 6.275 6.275
angles: 85.20 85.20 85.20
Fractional positions:
Sm  0.164  0.164  0.164
Sm  0.836  0.836  0.836
Cu  0.500  0.500  0.500
Ni  0.120  0.120  0.609
Ni  0.120  0.609  0.120
Ni  0.194  0.678  0.678
Ni  0.322  0.322  0.806
Ni  0.322  0.806  0.322
Ni  0.391  0.880  0.880
Ni  0.609  0.120  0.120
Ni  0.678  0.194  0.678
Ni  0.678  0.678  0.194
Ni  0.806  0.322  0.322
Ni  0.880  0.391  0.880
Ni  0.880  0.880  0.391
P  0.000  0.500  0.500
P  0.500  0.000  0.500
P  0.500  0.500  0.000

space-group type: R-3m
calculated total energy: -100.748 eV per cell


Record 2
This record from the Alexandria database describes a relaxed structure of TbCuNiP2. The functional is PBE-GGA.

abc: 3.860 3.860 10.027
angles: 90.00 90.00 90.00
Fractional positions:
Tb  0.000  0.000  0.000
Tb  0.500  0.500  0.500
Cu  0.000  0.500  0.750
Cu  0.500  0.000  0.250
Ni  0.000  0.500  0.250
Ni  0.500  0.000  0.750
P  0.000  0.000  0.378
P  0.000  0.000  0.622
P  0.500  0.500  0.122
P  0.500  0.500  0.878

space-group type: I-4m2
calculated total energy: -58.762 eV per cell


Record 3
This record from the Alexandria database describes a relaxed structure of Tb2CuNi4P3. The functional is PBE-GGA.

abc: 3.938 3.938 9.292
angles: 90.00 90.00 90.00
Fractional positions:
Tb  0.000  0.500  0.248
Tb  0.500  0.000  0.752
Cu  0.000  0.000  0.500
Ni  0.000  0.000  0.000
Ni  0.000  0.500  0.629
Ni  0.500  0.000  0.371
Ni  0.500  0.500  0.000
P  0.000  0.500  0.867
P  0.500  0.000  0.133
P  0.500  0.500  0.500

space-group type: P-4m2
calculated total energy: -61.604 eV per cell


Record 4
This record from the Alexandria database describes a relaxed structure of CuNiTe2P. The functional is PBE-GGA.

abc: 5.257 5.257 4.186
angles: 90.00 90.00 90.00
Fractional positions:
Cu  0.000  0.000  0.000
Ni  0.500  0.500  0.500
Te  0.000  0.500  0.000
Te  0.500  0.000  0.000
P  0.000  0.000  0.500

uncorrected formation energy: 0.87 eV/atom
space-group type: P4/mmm


Record 5
This record from the Alexandria database describes a relaxed structure of TiCuNi2P. The functional is PBE-GGA.

abc: 4.299 4.299 4.608
angles: 90.00 90.00 90.00
Fractional positions:
Ti  0.000  0.000  0.000
Cu  0.000  0.000  0.500
Ni  0.000  0.500  0.000
Ni  0.500  0.000  0.000
P  0.500  0.500  0.500

space-group type: P4/mmm
calculated total energy: -22.807 eV per cell


Record 6
This record from the Alexandria database describes a relaxed structure of TlCuNi2P. The functional is PBE-GGA.

abc: 4.305 4.305 4.388
angles: 90.00 90.00 90.00
Fractional positions:
Tl  0.000  0.000  0.000
Cu  0.500  0.500  0.000
Ni  0.000  0.500  0.500
Ni  0.500  0.000  0.500
P  0.500  0.500  0.500

space-group type: P4/mmm
calculated total energy: -22.989 eV per cell


Record 7
This record from the Alexandria database describes a relaxed structure of U2CuNi3P4. The functional is PBE-GGA.

abc: 4.025 4.025 9.022
angles: 90.00 90.00 90.00
Fractional positions:
U  0.000  0.500  0.243
U  0.500  0.000  0.757
Cu  0.000  0.000  0.500
Ni  0.000  0.500  0.888
Ni  0.500  0.000  0.112
Ni  0.500  0.500  0.500
P  0.000  0.000  0.000
P  0.000  0.500  0.640
P  0.500  0.000  0.360
P  0.500  0.500  0.000

space-group type: P-4m2
calculated total energy: -72.427 eV per cell


Record 8
This record from the Alexandria database describes a relaxed structure of Y2CuNi4P3. The functional is PBE-GGA.

abc: 3.928 3.928 9.321
angles: 90.00 90.00 90.00
Fractional positions:
Y  0.000  0.500  0.248
Y  0.500  0.000  0.752
Cu  0.000  0.000  0.500
Ni  0.000  0.000  0.000
Ni  0.000  0.500  0.629
Ni  0.500  0.000  0.371
Ni  0.500  0.500  0.000
P  0.000  0.500  0.867
P  0.500  0.000  0.133
P  0.500  0.500  0.500

space-group type: P-4m2
calculated total energy: -65.211 eV per cell


Record 9
This record from the Alexandria database describes a relaxed structure of PaCu2Ni. The functional is PBE-GGA.

abc: 4.037 6.924 4.906
angles: 90.00 113.81 90.00
Fractional positions:
Pa  0.067  0.250  0.139
Pa  0.933  0.750  0.861
Cu  0.366  0.056  0.723
Cu  0.366  0.444  0.723
Cu  0.634  0.556  0.277
Cu  0.634  0.944  0.277
Ni  0.206  0.750  0.425
Ni  0.794  0.250  0.575

space-group type: P2_1/m
relative energy among the computed polymorphs: 0.0 meV per atom


Record 10
This record from the Alexandria database describes a relaxed structure of PaCuNi. The functional is PBE-GGA.

abc: 3.088 3.088 10.205
angles: 90.00 90.00 90.00
Fractional positions:
Pa  0.000  0.000  0.000
Pa  0.500  0.500  0.500
Cu  0.000  0.000  0.700
Cu  0.500  0.500  0.200
Ni  0.000  0.000  0.325
Ni  0.500  0.500  0.825

space-group type: I4mm
relative energy among the computed polymorphs: 145.2 meV per atom


Record 11
This record from the Alexandria database describes a relaxed structure of Pa5Cu2Ni12. The functional is PBE-GGA.

abc: 8.105 8.105 6.092
angles: 95.45 95.45 46.51
Fractional positions:
Pa  0.000  0.000  0.000
Pa  0.236  0.236  0.908
Pa  0.321  0.321  0.446
Pa  0.679  0.679  0.554
Pa  0.764  0.764  0.092
Cu  0.273  0.727  0.500
Cu  0.727  0.273  0.500
Ni  0.040  0.659  0.744
Ni  0.120  0.120  0.593
Ni  0.209  0.599  0.135
Ni  0.341  0.960  0.256
Ni  0.401  0.791  0.865
Ni  0.449  0.449  0.810
Ni  0.551  0.551  0.190
Ni  0.599  0.209  0.135
Ni  0.659  0.040  0.744
Ni  0.791  0.401  0.865
Ni  0.880  0.880  0.407
Ni  0.960  0.341  0.256

space-group type: C2/m
calculated total energy: -130.415 eV per cell


Record 12
This record from the Alexandria database describes a relaxed structure of Pa2Cu2Ni15. The functional is PBE-GGA.

abc: 6.257 6.257 6.257
angles: 82.33 82.33 82.33
Fractional positions:
Pa  0.160  0.160  0.160
Pa  0.840  0.840  0.840
Cu  0.403  0.403  0.403
Cu  0.597  0.597  0.597
Ni  0.000  0.500  0.500
Ni  0.153  0.153  0.658
Ni  0.153  0.658  0.153
Ni  0.195  0.500  0.805
Ni  0.195  0.805  0.500
Ni  0.342  0.847  0.847
Ni  0.500  0.000  0.500
Ni  0.500  0.195  0.805
Ni  0.500  0.500  0.000
Ni  0.500  0.805  0.195
Ni  0.658  0.153  0.153
Ni  0.805  0.195  0.500
Ni  0.805  0.500  0.195
Ni  0.847  0.342  0.847
Ni  0.847  0.847  0.342

space-group type: R-3m
calculated total energy: -118.293 eV per cell


Record 13
This record from the Alexandria database describes a relaxed structure of Pa3CuNi4. The functional is PBE-GGA.

abc: 4.377 3.442 9.237
angles: 90.00 93.78 90.00
Fractional positions:
Pa  0.000  0.000  0.000
Pa  0.188  0.500  0.321
Pa  0.812  0.500  0.679
Cu  0.500  0.500  0.000
Ni  0.257  0.000  0.556
Ni  0.386  0.000  0.810
Ni  0.614  0.000  0.190
Ni  0.743  0.000  0.444

space-group type: P2/m
calculated total energy: -57.349 eV per cell


Record 14
This record from the Alexandria database describes a relaxed structure of PaCu4Ni2. The functional is PBE-GGA.

abc: 6.267 6.267 4.904
angles: 90.00 90.00 90.00
Fractional positions:
Pa  0.000  0.000  0.000
Pa  0.500  0.500  0.500
Cu  0.193  0.193  0.500
Cu  0.193  0.807  0.500
Cu  0.307  0.307  0.000
Cu  0.307  0.693  0.000
Cu  0.693  0.307  0.000
Cu  0.693  0.693  0.000
Cu  0.807  0.193  0.500
Cu  0.807  0.807  0.500
Ni  0.000  0.500  0.250
Ni  0.000  0.500  0.750
Ni  0.500  0.000  0.250
Ni  0.500  0.000  0.750

space-group type: I4/mmm
calculated total energy: -76.036 eV per cell


Record 15
This record from the Alexandria database describes a relaxed structure of PaCu3Ni8. The functional is PBE-GGA.

abc: 4.774 4.774 7.718
angles: 90.00 90.00 120.00
Fractional positions:
Pa  0.000  0.000  0.000
Cu  0.000  0.000  0.394
Cu  0.667  0.333  0.490
Cu  0.667  0.333  0.830
Ni  0.164  0.329  0.679
Ni  0.164  0.836  0.679
Ni  0.333  0.667  0.433
Ni  0.333  0.667  0.932
Ni  0.503  0.007  0.190
Ni  0.503  0.497  0.190
Ni  0.671  0.836  0.679
Ni  0.993  0.497  0.190

space-group type: P3m1
calculated total energy: -68.997 eV per cell


Record 16
This record from the Alexandria database describes a relaxed structure of PaCuNi5. The functional is PBE-GGA.

abc: 7.876 4.766 9.864
angles: 90.00 90.00 90.00
Fractional positions:
Pa  0.247  0.250  0.062
Pa  0.253  0.750  0.562
Pa  0.747  0.250  0.438
Pa  0.753  0.750  0.938
Cu  0.149  0.750  0.856
Cu  0.351  0.250  0.356
Cu  0.649  0.750  0.644
Cu  0.851  0.250  0.144
Ni  0.044  0.750  0.090
Ni  0.064  0.006  0.305
Ni  0.064  0.494  0.305
Ni  0.096  0.250  0.517
Ni  0.190  0.250  0.748
Ni  0.310  0.750  0.248
Ni  0.404  0.750  0.017
Ni  0.436  0.506  0.805
Ni  0.436  0.994  0.805
Ni  0.456  0.250  0.590
Ni  0.544  0.750  0.410
Ni  0.564  0.006  0.195
Ni  0.564  0.494  0.195
Ni  0.596  0.250  0.983
Ni  0.690  0.250  0.752
Ni  0.810  0.750  0.252
Ni  0.904  0.750  0.483
Ni  0.936  0.506  0.695
Ni  0.936  0.994  0.695
Ni  0.956  0.250  0.910

space-group type: Pnma
relative energy among the computed polymorphs: 0.0 meV per atom


Record 17
This record from the Alexandria database describes a relaxed structure of Pa4CuNi4. The functional is PBE-GGA.

abc: 8.036 8.036 5.215
angles: 90.00 90.00 90.00
Fractional positions:
Pa  0.028  0.678  0.070
Pa  0.178  0.972  0.570
Pa  0.322  0.528  0.570
Pa  0.472  0.822  0.070
Pa  0.528  0.178  0.930
Pa  0.678  0.472  0.430
Pa  0.822  0.028  0.430
Pa  0.972  0.322  0.930
Cu  0.250  0.250  0.250
Cu  0.750  0.750  0.750
Ni  0.011  0.655  0.563
Ni  0.155  0.989  0.063
Ni  0.345  0.511  0.063
Ni  0.489  0.845  0.563
Ni  0.511  0.155  0.437
Ni  0.655  0.489  0.937
Ni  0.845  0.011  0.937
Ni  0.989  0.345  0.437

space-group type: P4_2/n
calculated total energy: -133.603 eV per cell


Record 18
This record from the Alexandria database describes a relaxed structure of PaCu2Ni. The functional is PBE-GGA.

abc: 2.810 2.810 28.592
angles: 90.00 90.00 120.00
Fractional positions:
Pa  0.000  0.000  0.000
Pa  0.333  0.667  0.667
Pa  0.667  0.333  0.333
Cu  0.000  0.000  0.100
Cu  0.000  0.000  0.900
Cu  0.333  0.667  0.566
Cu  0.333  0.667  0.767
Cu  0.667  0.333  0.233
Cu  0.667  0.333  0.434
Ni  0.000  0.000  0.500
Ni  0.333  0.667  0.167
Ni  0.667  0.333  0.833

space-group type: R-3m
relative energy among the computed polymorphs: 713.3 meV per atom


Record 19
This record from the Alexandria database describes a relaxed structure of Pa2CuNi3. The functional is PBE-GGA.

abc: 8.480 7.998 5.316
angles: 76.18 66.32 37.50
Fractional positions:
Pa  0.239  0.761  0.761
Pa  0.250  0.250  0.250
Pa  0.750  0.750  0.750
Pa  0.761  0.239  0.239
Cu  0.334  0.334  0.666
Cu  0.666  0.666  0.334
Ni  0.168  0.663  0.337
Ni  0.169  0.169  0.831
Ni  0.337  0.832  0.168
Ni  0.663  0.168  0.832
Ni  0.831  0.831  0.169
Ni  0.832  0.337  0.663

space-group type: Fmmm
calculated total energy: -84.236 eV per cell


Record 20
This record from the Alexandria database describes a relaxed structure of PaCuNi. The functional is PBE-GGA.

abc: 4.285 4.285 3.165
angles: 90.00 90.00 120.00
Fractional positions:
Pa  0.000  0.000  0.000
Cu  0.667  0.333  0.500
Ni  0.333  0.667  0.500

space-group type: P-6m2
relative energy among the computed polymorphs: 14.8 meV per atom


Record 21
This record from the Alexandria database describes a relaxed structure of Pa3Cu4Ni4. The functional is PBE-GGA.

abc: 7.836 7.836 7.836
angles: 152.82 126.11 61.38
Fractional positions:
Pa  0.000  0.000  0.000
Pa  0.371  0.871  0.500
Pa  0.629  0.129  0.500
Cu  0.017  0.329  0.688
Cu  0.358  0.671  0.688
Cu  0.642  0.329  0.312
Cu  0.983  0.671  0.312
Ni  0.232  0.232  0.000
Ni  0.314  0.500  0.814
Ni  0.686  0.500  0.186
Ni  0.768  0.768  0.000

space-group type: Immm
calculated total energy: -70.417 eV per cell


Record 22
This record from the Alexandria database describes a relaxed structure of PaCu2Ni2. The functional is PBE-GGA.

abc: 3.691 3.704 10.986
angles: 90.00 90.03 90.00
Fractional positions:
Pa  0.249  0.250  0.253
Pa  0.751  0.750  0.747
Cu  0.250  0.750  0.500
Cu  0.251  0.250  0.864
Cu  0.749  0.750  0.136
Cu  0.750  0.250  0.500
Ni  0.249  0.750  0.000
Ni  0.250  0.250  0.651
Ni  0.750  0.750  0.349
Ni  0.751  0.250  0.000

space-group type: P2_1/m
calculated total energy: -59.431 eV per cell